# 1
A plane-wave DFT calculation with PBE was carried out for crystalline TaCd2Pb at its relaxed geometry.

a = 3.793 Å, b = 3.793 Å, c = 6.198 Å
α = 90.00°, β = 90.00°, γ = 90.00°
Space group P4mm (No. 99)
Symmetry-distinct sites (fractional):
Ta1 0.000 0.000 0.000 x1
Cd1 0.000 0.000 0.494 x1
Cd2 0.500 0.500 0.264 x1
Pb1 0.500 0.500 0.791 x1

Values from the calculation:
M_tot = 0.0000 μB per atom
DFT formation energy = 0.476 eV/atom

***

# 2
A plane-wave DFT calculation with PBE was carried out for crystalline TaCd2Pb at its relaxed geometry.

a = 3.133 Å, b = 5.056 Å, c = 11.316 Å
α = 90.00°, β = 90.00°, γ = 90.00°
Space group Immm (No. 71)
Symmetry-distinct sites (fractional):
Ta1 0.000 0.000 0.000 x2
Cd1 0.000 0.500 0.273 x4
Pb1 0.000 0.000 0.500 x2

Values from the calculation:
M_tot = 0.0000 μB per atom
DFT formation energy = 0.395 eV/atom

***

# 3
A plane-wave DFT calculation with PBE was carried out for crystalline TaCdPb at its relaxed geometry.

a = 3.1852 Å, b = 3.1852 Å, c = 7.7783 Å
α = 90.00°, β = 90.00°, γ = 120.00°
Space group P3m1 (No. 156)
Symmetry-distinct sites (fractional):
Ta1 0.0000 0.0000 0.0000 x1
Cd1 0.6667 0.3333 0.3044 x1
Pb1 0.3333 0.6667 0.6750 x1

Values from the calculation:
M_tot = 0.0000 μB per atom
DFT formation energy = 0.440 eV/atom

***

# 4
A plane-wave DFT calculation with PBE was carried out for crystalline TaCd2Pb at its relaxed geometry.

a = 3.021 Å, b = 5.587 Å, c = 5.276 Å
α = 90.00°, β = 90.22°, γ = 90.00°
Space group P2/m (No. 10)
Symmetry-distinct sites (fractional):
Ta1 0.000 0.000 0.000 x1
Cd1 0.255 0.500 0.763 x2
Pb1 0.500 0.000 0.500 x1

Values from the calculation:
M_tot = 0.0000 μB per atom
DFT formation energy = 0.440 eV/atom

***

# 5
A plane-wave DFT calculation with PBE was carried out for crystalline TaCdPb2 at its relaxed geometry.

a = 3.208 Å, b = 5.269 Å, c = 5.746 Å
α = 90.00°, β = 90.00°, γ = 90.00°
Space group Pmmm (No. 47)
Symmetry-distinct sites (fractional):
Ta1 0.000 0.000 0.000 x1
Cd1 0.500 0.000 0.500 x1
Pb1 0.000 0.500 0.500 x1
Pb2 0.500 0.500 0.000 x1

Values from the calculation:
M_tot = 0.0000 μB per atom
DFT formation energy = 0.587 eV/atom

***

# 6
A plane-wave DFT calculation with PBE was carried out for crystalline TaCdPb2 at its relaxed geometry.

a = 4.306 Å, b = 4.306 Å, c = 10.235 Å
α = 90.00°, β = 90.00°, γ = 90.00°
Space group I-4m2 (No. 119)
Symmetry-distinct sites (fractional):
Ta1 0.000 0.000 0.000 x2
Cd1 0.000 0.500 0.750 x2
Pb1 0.000 0.000 0.500 x2
Pb2 0.000 0.500 0.250 x2

Values from the calculation:
M_tot = 0.0001 μB per atom
DFT formation energy = 0.589 eV/atom

***

# 7
A plane-wave DFT calculation with PBE was carried out for crystalline TaCdPb2 at its relaxed geometry.

a = 3.079 Å, b = 3.079 Å, c = 11.352 Å
α = 90.00°, β = 90.00°, γ = 90.00°
Space group P4/mmm (No. 123)
Symmetry-distinct sites (fractional):
Ta1 0.000 0.000 0.000 x1
Cd1 0.000 0.000 0.500 x1
Pb1 0.500 0.500 0.211 x2

Values from the calculation:
M_tot = 0.0000 μB per atom
DFT formation energy = 0.362 eV/atom

***

# 8
A plane-wave DFT calculation with PBE was carried out for crystalline TaCd2Pb at its relaxed geometry.

a = 3.200 Å, b = 5.329 Å, c = 10.525 Å
α = 90.00°, β = 90.00°, γ = 90.00°
Space group Imm2 (No. 44)
Symmetry-distinct sites (fractional):
Ta1 0.000 0.000 0.000 x2
Cd1 0.000 0.000 0.482 x2
Cd2 0.000 0.500 0.735 x2
Pb1 0.000 0.500 0.252 x2

Values from the calculation:
M_tot = 0.0000 μB per atom
DFT formation energy = 0.476 eV/atom

***

# 9
A plane-wave DFT calculation with PBE was carried out for crystalline TaCdPb at its relaxed geometry.

a = 6.813 Å, b = 6.813 Å, c = 6.813 Å
α = 90.00°, β = 90.00°, γ = 90.00°
Space group F-43m (No. 216)
Symmetry-distinct sites (fractional):
Ta1 0.000 0.000 0.000 x4
Cd1 0.250 0.250 0.750 x4
Pb1 0.250 0.250 0.250 x4

Values from the calculation:
M_tot = 0.3634 μB per atom
DFT formation energy = 0.907 eV/atom

***

# 10
A plane-wave DFT calculation with PBE was carried out for crystalline TaCdPb2 at its relaxed geometry.

a = 3.874 Å, b = 4.835 Å, c = 11.408 Å
α = 90.00°, β = 90.00°, γ = 90.00°
Space group Cmmm (No. 65)
Symmetry-distinct sites (fractional):
Ta1 0.000 0.000 0.000 x2
Cd1 0.000 0.000 0.500 x2
Pb1 0.000 0.500 0.211 x4

Values from the calculation:
M_tot = 0.0000 μB per atom
DFT formation energy = 0.349 eV/atom

***

# 11
A plane-wave DFT calculation with PBE was carried out for crystalline TaCd2Pb at its relaxed geometry.

a = 3.1751 Å, b = 3.1751 Å, c = 31.5683 Å
α = 90.00°, β = 90.00°, γ = 120.00°
Space group R-3m (No. 166, hexagonal axes)
Symmetry-distinct sites (fractional):
Ta1 0.0000 0.0000 0.0000 x3
Cd1 0.0000 0.0000 0.2581 x6
Pb1 0.0000 0.0000 0.5000 x3

Values from the calculation:
M_tot = 0.0001 μB per atom
DFT formation energy = 0.322 eV/atom

***

# 12
A plane-wave DFT calculation with PBE was carried out for crystalline TbCdPb3 at its relaxed geometry.

a = 5.400 Å, b = 6.533 Å, c = 8.861 Å
α = 90.00°, β = 90.00°, γ = 90.00°
Space group Pmmn (No. 59, origin choice 2)
Symmetry-distinct sites (fractional):
Tb1 0.250 0.250 0.108 x2
Cd1 0.250 0.750 0.430 x2
Pb1 0.250 0.002 0.731 x4
Pb2 0.250 0.750 0.087 x2

Values from the calculation:
M_tot = 0.0000 μB per atom
DFT formation energy = -0.046 eV/atom

***

# 13
A plane-wave DFT calculation with PBE was carried out for crystalline Tb5Cd2Pb at its relaxed geometry.

a = 8.384 Å, b = 8.384 Å, c = 13.150 Å
α = 90.00°, β = 90.00°, γ = 90.00°
Space group I4/mcm (No. 140)
Symmetry-distinct sites (fractional):
Tb1 0.000 0.000 0.000 x4
Tb2 0.154 0.346 0.151 x16
Cd1 0.137 0.363 0.500 x8
Pb1 0.000 0.000 0.250 x4

Values from the calculation:
M_tot = 0.0000 μB per atom
DFT formation energy = -0.294 eV/atom

***

# 14
A plane-wave DFT calculation with PBE was carried out for crystalline Tb2CdPb5 at its relaxed geometry.

a = 6.732 Å, b = 13.472 Å, c = 4.955 Å
α = 90.00°, β = 90.00°, γ = 90.00°
Space group Pbam (No. 55)
Symmetry-distinct sites (fractional):
Tb1 0.227 0.132 0.000 x4
Cd1 0.000 0.500 0.500 x2
Pb1 0.000 0.000 0.500 x2
Pb2 0.022 0.745 0.500 x4
Pb3 0.225 0.384 0.000 x4

Values from the calculation:
M_tot = 0.0000 μB per atom
DFT formation energy = -0.317 eV/atom